# La3LuN

La3LuN after structural relaxation (PBE, the Alexandria database).

Summary:
**SG**: Pm-3m (221)
**Total energy**: -30.2 eV for the cell shown
**Raw formation energy**: -2.531 eV per formula unit

Unit cell a=5.206 b=5.206 c=5.206 alpha=90.00 beta=90.00 gamma=90.00
Sites, in units of the cell vectors:
La 0.000 0.000 0.500
La 0.000 0.500 0.000
La 0.500 0.000 0.000
Lu 0.500 0.500 0.500
N 0.000 0.000 0.000


# GdThCuAu

GdThCuAu after structural relaxation (PBE, the Alexandria database).

Summary:
**SG**: F-43m (216)
**Total energy**: -121.7 eV for the cell shown
**E_form**: -149 kJ/mol of formula units

Unit cell a=7.261 b=7.261 c=7.261 alpha=90.00 beta=90.00 gamma=90.00
Sites, in units of the cell vectors:
Gd 0.000 0.000 0.000
Gd 0.000 0.500 0.500
Gd 0.500 0.000 0.500
Gd 0.500 0.500 0.000
Th 0.000 0.000 0.500
Th 0.000 0.500 0.000
Th 0.500 0.000 0.000
Th 0.500 0.500 0.500
Cu 0.250 0.250 0.250
Cu 0.250 0.750 0.750
Cu 0.750 0.250 0.750
Cu 0.750 0.750 0.250
Au 0.250 0.250 0.750
Au 0.250 0.750 0.250
Au 0.750 0.250 0.250
Au 0.750 0.750 0.750


# TiHPtRh2

TiHPtRh2 after structural relaxation (PBE, the Alexandria database).

Summary:
**SG**: P4/mmm (123)
**Total energy**: -34.8 eV for the cell shown

Unit cell a=3.960 b=3.960 c=3.906 alpha=90.00 beta=90.00 gamma=90.00
Sites, in units of the cell vectors:
Ti 0.000 0.000 0.000
H 0.500 0.500 0.500
Pt 0.500 0.500 0.000
Rh 0.000 0.500 0.500
Rh 0.500 0.000 0.500


# Re2SI

Re2SI after structural relaxation (PBE, the Alexandria database).

Summary:
**SG**: I-42d (122)
**Total energy**: -106.3 eV for the cell shown
**Raw formation energy**: 4.011 eV per formula unit

Unit cell a=5.486 b=5.486 c=11.481 alpha=90.00 beta=90.00 gamma=90.00
Sites, in units of the cell vectors:
Re 0.190 0.250 0.125
Re 0.250 0.690 0.375
Re 0.250 0.810 0.875
Re 0.310 0.250 0.625
Re 0.690 0.750 0.625
Re 0.750 0.190 0.875
Re 0.750 0.310 0.375
Re 0.810 0.750 0.125
S 0.000 0.000 0.000
S 0.000 0.500 0.250
S 0.500 0.000 0.750
S 0.500 0.500 0.500
I 0.000 0.000 0.500
I 0.000 0.500 0.750
I 0.500 0.000 0.250
I 0.500 0.500 0.000